# 1
Compound: Mg4Al3H17O17
Source: Alexandria via LeMat-Bulk
Functional: PBEsol
Structure: relaxed Values from VASP.

## Properties
**E**: -5.747 eV per atom

Cell and atoms, written as Quantum ESPRESSO input:
```
&SYSTEM
  ibrav = 0, nat = 41, ntyp = 4
/
ATOMIC_SPECIES
Mg 24.30 Mg.upf
Al 26.98 Al.upf
H 1.01 H.upf
O 16.00 O.upf
CELL_PARAMETERS angstrom
2.994 0.000 0.000
-1.295 6.725 0.000
-1.384 -1.090 18.259
ATOMIC_POSITIONS crystal
Mg 0.000 0.000 0.000
Mg 0.139 0.001 0.299
Mg 0.573 0.006 0.149
Mg 0.711 0.972 0.443
Al 0.281 0.948 0.579
Al 0.423 0.971 0.852
Al 0.850 0.957 0.717
H 0.006 0.682 0.397
H 0.037 0.468 0.489
H 0.043 0.273 0.880
H 0.126 0.468 0.769
H 0.226 0.305 0.211
H 0.239 0.636 0.672
H 0.330 0.700 0.932
H 0.455 0.263 0.502
H 0.488 0.708 0.252
H 0.542 0.457 0.667
H 0.585 0.268 0.779
H 0.652 0.301 0.051
H 0.711 0.631 0.509
H 0.760 0.287 0.373
H 0.862 0.606 0.813
H 0.921 0.707 0.100
H 0.980 0.255 0.642
O 0.010 0.135 0.897
O 0.118 0.821 0.387
O 0.164 0.161 0.202
O 0.233 0.472 0.678
O 0.274 0.829 0.674
O 0.304 0.120 0.503
O 0.405 0.844 0.940
O 0.453 0.121 0.767
O 0.548 0.848 0.241
O 0.591 0.157 0.049
O 0.707 0.816 0.540
O 0.723 0.489 0.478
O 0.729 0.150 0.355
O 0.846 0.836 0.807
O 0.873 0.107 0.634
O 0.946 0.467 0.813
O 0.978 0.849 0.092
```

---

# 2
Compound: BeHgW4
Source: Alexandria via LeMat-Bulk
Functional: PBEsol
Structure: relaxed Values from VASP.

## Properties
**Energy of formation from the pure elements**: 0.98 eV per atom

Cell and atoms, written as Quantum ESPRESSO input:
```
&SYSTEM
  ibrav = 0, nat = 6, ntyp = 3
/
ATOMIC_SPECIES
Be 9.01 Be.upf
Hg 200.59 Hg.upf
W 183.84 W.upf
CELL_PARAMETERS angstrom
0.000 3.711 3.711
3.711 0.000 3.711
3.711 3.711 0.000
ATOMIC_POSITIONS crystal
Be 0.000 0.000 0.000
Hg 0.250 0.250 0.250
W 0.123 0.626 0.626
W 0.626 0.123 0.626
W 0.626 0.626 0.123
W 0.626 0.626 0.626
```

---

# 3
Compound: HfSc3N
Source: Alexandria via LeMat-Bulk
Functional: PBEsol
Structure: relaxed Values from VASP.

## Properties
**Formation energy from raw total energies**: 1803 meV/atom
**Polymorph energy (0 for the lowest one)**: 2405 meV/atom

Cell and atoms, written as Quantum ESPRESSO input:
```
&SYSTEM
  ibrav = 0, nat = 5, ntyp = 3
/
ATOMIC_SPECIES
Hf 178.49 Hf.upf
Sc 44.96 Sc.upf
N 14.01 N.upf
CELL_PARAMETERS angstrom
4.977 0.000 0.000
0.000 4.977 0.000
0.000 0.000 4.977
ATOMIC_POSITIONS crystal
Hf 0.000 0.000 0.000
Sc 0.000 0.000 0.500
Sc 0.000 0.500 0.000
Sc 0.500 0.000 0.000
N 0.500 0.500 0.500
```